Record 1
Material: V4ZnGa3
Method: DFT, PBE
State: relaxed

Calculated values
D(E_F) in states/eV/atom: 0.62
ΔH_f (0 K) in kJ per mole of atoms: -12.3
Mass density in Mg/m³: 7.10
Space group: No. 31
DFT total energy in eV per atom: -5.982

Geometry as extended XYZ:
```
16
Lattice="7.955 0.000 0.000 0.000 5.305 0.000 0.000 0.000 5.305" Properties=species:S:1:pos:R:3 pbc="T T T"
V 0.000 0.003 0.000
V 0.000 2.649 2.644
V 1.989 1.310 3.974
V 1.989 3.995 1.322
V 3.977 2.656 5.297
V 3.977 5.302 2.652
V 5.966 1.310 3.974
V 5.966 3.995 1.322
Zn 0.000 2.654 5.298
Zn 3.977 2.651 2.646
Ga 0.000 5.302 2.651
Ga 1.991 1.354 1.322
Ga 1.986 3.951 3.974
Ga 3.977 0.003 5.303
Ga 5.963 1.354 1.322
Ga 5.969 3.951 3.974
```

***

Record 2
Material: VZnGa2
Method: DFT, PBE
State: relaxed

Calculated values
D(E_F) in states/eV/atom: 0.70
ΔH_f (0 K) in kJ per mole of atoms: 18.9
Mass density in Mg/m³: 6.24
Space group: No. 160
DFT total energy in eV per atom: -3.916

Geometry as extended XYZ:
```
4
Lattice="1.957 1.130 5.130 -1.957 1.130 5.130 0.000 -2.260 5.130" Properties=species:S:1:pos:R:3 pbc="T T T"
V 0.000 0.000 0.000
Zn 0.000 0.000 2.798
Ga 0.000 0.000 6.458
Ga 0.000 0.000 9.153
```

***

Record 3
Material: V6ZnGa2
Method: DFT, PBE
State: relaxed

Calculated values
D(E_F) in states/eV/atom: 1.13
Energy above the most stable polymorph in this dataset in eV/atom: 0.000
ΔH_f (0 K) in kJ per mole of atoms: -6.6
Mass density in Mg/m³: 6.82
Space group: No. 2
DFT total energy in eV per atom: -6.962

Geometry as extended XYZ:
```
9
Lattice="2.588 0.000 0.000 -0.489 6.628 0.000 -0.316 -1.510 7.249" Properties=species:S:1:pos:R:3 pbc="T T T"
V -0.023 0.634 1.967
V -0.247 2.093 6.005
V 0.183 5.018 2.876
V 1.600 0.100 4.372
V 2.030 3.025 1.244
V 1.806 4.484 5.281
Zn 0.891 2.559 3.624
Ga 0.768 -0.184 6.822
Ga 1.014 5.302 0.426
```

***

Record 4
Material: ZrVGa3
Method: DFT, PBE
State: relaxed

Calculated values
D(E_F) in states/eV/atom: 0.58
Energy above the most stable polymorph in this dataset in eV/atom: 0.000
ΔH_f (0 K) in kJ per mole of atoms: -7.2
Mass density in Mg/m³: 6.46
Space group: No. 107
DFT total energy in eV per atom: -5.424

Geometry as extended XYZ:
```
5
Lattice="-1.944 1.944 5.968 1.944 -1.944 5.968 1.944 1.944 -5.968" Properties=species:S:1:pos:R:3 pbc="T T T"
Zr 0.000 0.000 0.000
V 0.000 0.000 7.820
Ga 1.944 0.000 3.528
Ga 0.000 0.000 5.370
Ga 0.000 1.944 3.528
```

***

Record 5
Material: ZrV4Ga
Method: DFT, PBE
State: relaxed

Calculated values
D(E_F) in states/eV/atom: 0.82
ΔH_f (0 K) in kJ per mole of atoms: 2.0
Mass density in Mg/m³: 6.51
Space group: No. 216
DFT total energy in eV per atom: -7.988

Geometry as extended XYZ:
```
6
Lattice="0.000 3.597 3.597 3.597 0.000 3.597 3.597 3.597 0.000" Properties=species:S:1:pos:R:3 pbc="T T T"
Zr 0.000 0.000 0.000
V 4.514 2.680 2.680
V 2.680 4.514 2.680
V 2.680 2.680 4.514
V 4.514 4.514 4.514
Ga 1.798 1.798 1.798
```

***

Record 6
Material: Zr2VGa
Method: DFT, PBE
State: relaxed

Calculated values
D(E_F) in states/eV/atom: 0.75
ΔH_f (0 K) in kJ per mole of atoms: 26.2
Mass density in Mg/m³: 6.43
Space group: No. 122
DFT total energy in eV per atom: -7.039

Geometry as extended XYZ:
```
8
Lattice="-3.750 3.750 2.783 3.750 -3.750 2.783 3.750 3.750 -2.783" Properties=species:S:1:pos:R:3 pbc="T T T"
Zr 5.625 1.854 -0.696
Zr 1.854 1.875 0.696
Zr -1.875 1.896 2.087
Zr 1.896 1.875 3.479
V 0.000 0.000 0.000
V 0.000 3.750 1.392
Ga 3.750 0.000 1.392
Ga 0.000 0.000 2.783
```

***

> What is the mass density in the third record?

6.82 Mg/m³

***

> Among the records above, which one has the highest DFT total energy?

VZnGa2